No. 1
Material: Nb2InBiW
Method: DFT, PBE
State: relaxed

* energy of formation from the pure elements: 2.0696 eV/atom
* calculated volume: 133.5 Å³ per cell
* crystal system: tetragonal

a b c (Å): 5.149 5.149 5.036
angles (deg): 90.00 90.00 90.00
Space group P4/mmm (No. 123)
Inequivalent atoms, fractional coordinates:
Nb  0.000  0.500  0.000 [2 per cell]
In  0.000  0.000  0.500 [1 per cell]
Bi  0.500  0.500  0.000 [1 per cell]
W  0.500  0.500  0.500 [1 per cell]

No. 2
Material: RbCd2Mo
Method: DFT, PBE
State: relaxed

* excess energy over the best structure of this formula in the dataset: 0.000 eV/atom
* energy of formation from the pure elements: 0.9666 eV/atom
* calculated volume: 641.4 Å³ per cell
* crystal system: tetragonal

a b c (Å): 5.708 5.708 19.690
angles (deg): 90.00 90.00 90.00
Space group I-42d (No. 122)
Inequivalent atoms, fractional coordinates:
Rb  0.000  0.000  0.000 [4 per cell]
Cd  0.001  0.250  0.625 [8 per cell]
Mo  0.000  0.000  0.500 [4 per cell]

No. 3
Material: SmTmLuZn
Method: DFT, PBE
State: relaxed

* energy of formation from the pure elements: 0.0257 eV/atom
* calculated volume: 422.7 Å³ per cell
* crystal system: cubic

a b c (Å): 7.505 7.505 7.505
angles (deg): 90.00 90.00 90.00
Space group F-43m (No. 216)
Inequivalent atoms, fractional coordinates:
Sm  0.000  0.000  0.000 [4 per cell]
Tm  0.000  0.000  0.500 [4 per cell]
Lu  0.250  0.250  0.250 [4 per cell]
Zn  0.250  0.250  0.750 [4 per cell]

No. 4
Material: Pm3Te3Se
Method: DFT, PBE
State: relaxed

* raw formation energy: -1.3670 eV/atom
* calculated volume: 934.0 Å³ per cell
* crystal system: monoclinic

a b c (Å): 8.989 12.830 8.100
angles (deg): 90.00 90.98 90.00
Space group C2/m (No. 12)
Inequivalent atoms, fractional coordinates:
Pm  0.056  0.000  0.297 [4 per cell]
Pm  0.152  0.348  0.194 [8 per cell]
Te  0.000  0.160  0.000 [4 per cell]
Te  0.000  0.229  0.500 [4 per cell]
Te  0.136  0.500  0.863 [4 per cell]
Se  0.248  0.500  0.419 [4 per cell]

No. 5
Material: LiZnSe2
Method: DFT, PBE
State: relaxed

* excess energy over the best structure of this formula in the dataset: 0.267 eV/atom
* raw formation energy: -0.3377 eV/atom
* calculated volume: 75.6 Å³ per cell
* crystal system: orthorhombic

a b c (Å): 3.696 3.874 5.277
angles (deg): 90.00 90.00 90.00
Space group Pmmm (No. 47)
Inequivalent atoms, fractional coordinates:
Li  0.000  0.000  0.000 [1 per cell]
Zn  0.000  0.500  0.500 [1 per cell]
Se  0.500  0.000  0.500 [1 per cell]
Se  0.500  0.500  0.000 [1 per cell]

No. 6
Material: RbYZn2F8
Method: DFT, PBE
State: relaxed

* raw formation energy: -2.9082 eV/atom
* calculated volume: 635.2 Å³ per cell
* crystal system: trigonal

a b c (Å): 5.3523 5.3523 25.6042
angles (deg): 90.00 90.00 120.00
Space group R32 (No. 155, hexagonal axes)
Inequivalent atoms, fractional coordinates:
Rb  0.0000  0.0000  0.0000 [3 per cell]
Y  0.0000  0.0000  0.5000 [3 per cell]
Zn  0.0000  0.0000  0.2538 [6 per cell]
F  0.0000  0.0000  0.3263 [6 per cell]
F  0.0066  0.3547  0.1123 [18 per cell]

No. 7
Material: Fe2SnPd8
Method: DFT, PBE
State: relaxed

* excess energy over the best structure of this formula in the dataset: 0.000 eV/atom
* energy of formation from the pure elements: -0.2219 eV/atom
* calculated volume: 337.3 Å³ per cell
* crystal system: monoclinic

a b c (Å): 14.054 4.016 6.208
angles (deg): 90.00 105.67 90.00
Space group C2/m (No. 12)
Inequivalent atoms, fractional coordinates:
Fe  0.223  0.000  0.149 [4 per cell]
Sn  0.000  0.500  0.500 [2 per cell]
Pd  0.045  0.000  0.230 [4 per cell]
Pd  0.101  0.500  0.966 [4 per cell]
Pd  0.149  0.000  0.710 [4 per cell]
Pd  0.182  0.500  0.420 [4 per cell]

No. 8
Material: Pm6InAg3
Method: DFT, PBE
State: relaxed

* energy of formation from the pure elements: -0.2104 eV/atom
* calculated volume: 560.4 Å³ per cell
* crystal system: monoclinic

a b c (Å): 9.729 5.173 11.437
angles (deg): 90.00 103.15 90.00
Space group P2_1/m (No. 11)
Inequivalent atoms, fractional coordinates:
Pm  0.039  0.250  0.403 [2 per cell]
Pm  0.134  0.750  0.189 [2 per cell]
Pm  0.244  0.250  0.990 [2 per cell]
Pm  0.334  0.750  0.804 [2 per cell]
Pm  0.363  0.250  0.295 [2 per cell]
Pm  0.404  0.250  0.592 [2 per cell]
In  0.445  0.750  0.117 [2 per cell]
Ag  0.037  0.750  0.894 [2 per cell]
Ag  0.136  0.250  0.700 [2 per cell]
Ag  0.265  0.750  0.470 [2 per cell]

No. 9
Material: Tb2TiIn
Method: DFT, PBE
State: relaxed

* excess energy over the best structure of this formula in the dataset: 0.000 eV/atom
* energy of formation from the pure elements: -0.1053 eV/atom
* calculated volume: 101.8 Å³ per cell
* crystal system: tetragonal

a b c (Å): 4.749 4.749 4.515
angles (deg): 90.00 90.00 90.00
Space group P4/mmm (No. 123)
Inequivalent atoms, fractional coordinates:
Tb  0.000  0.500  0.000 [2 per cell]
Ti  0.000  0.000  0.500 [1 per cell]
In  0.500  0.500  0.500 [1 per cell]

No. 10
Material: CoNi2Ag
Method: DFT, PBE
State: relaxed

* excess energy over the best structure of this formula in the dataset: 0.187 eV/atom
* energy of formation from the pure elements: 0.3484 eV/atom
* calculated volume: 51.3 Å³ per cell
* crystal system: tetragonal

a b c (Å): 4.311 4.311 2.762
angles (deg): 90.00 90.00 90.00
Space group P4/mmm (No. 123)
Inequivalent atoms, fractional coordinates:
Co  0.000  0.000  0.000 [1 per cell]
Ni  0.000  0.500  0.500 [2 per cell]
Ag  0.500  0.500  0.000 [1 per cell]

No. 11
Material: CsK2Rb2Hg
Method: DFT, PBE
State: relaxed

* energy of formation from the pure elements: 0.0430 eV/atom
* calculated volume: 1008.7 Å³ per cell
* crystal system: tetragonal

a b c (Å): 5.911 5.911 28.869
angles (deg): 90.00 90.00 90.00
Space group I4/mmm (No. 139)
Inequivalent atoms, fractional coordinates:
Cs  0.000  0.000  0.000 [2 per cell]
K  0.000  0.000  0.380 [4 per cell]
Rb  0.000  0.500  0.250 [4 per cell]
Hg  0.000  0.000  0.500 [2 per cell]

No. 12
Material: ThAlPdAu
Method: DFT, PBE
State: relaxed

* energy of formation from the pure elements: -0.6515 eV/atom
* calculated volume: 336.8 Å³ per cell
* crystal system: cubic

a b c (Å): 6.958 6.958 6.958
angles (deg): 90.00 90.00 90.00
Space group F-43m (No. 216)
Inequivalent atoms, fractional coordinates:
Th  0.000  0.000  0.000 [4 per cell]
Al  0.000  0.000  0.500 [4 per cell]
Pd  0.250  0.250  0.750 [4 per cell]
Au  0.250  0.250  0.250 [4 per cell]

No. 13
Material: SrHgMo2
Method: DFT, PBE
State: relaxed

* energy of formation from the pure elements: 1.1088 eV/atom
* calculated volume: 246.7 Å³ per cell
* crystal system: trigonal

a b c (Å): 3.0108 3.0108 31.4291
angles (deg): 90.00 90.00 120.00
Space group R-3m (No. 166, hexagonal axes)
Inequivalent atoms, fractional coordinates:
Sr  0.0000  0.0000  0.0000 [3 per cell]
Hg  0.0000  0.0000  0.5000 [3 per cell]
Mo  0.0000  0.0000  0.2430 [6 per cell]

No. 14
Material: Nd5YIr4
Method: DFT, PBE
State: relaxed

* energy of formation from the pure elements: -0.5387 eV/atom
* calculated volume: 559.6 Å³ per cell
* crystal system: monoclinic

a b c (Å): 18.688 4.308 7.601
angles (deg): 90.00 113.88 90.00
Space group C2/m (No. 12)
Inequivalent atoms, fractional coordinates:
Nd  0.000  0.000  0.000 [2 per cell]
Nd  0.165  0.500  0.422 [4 per cell]
Nd  0.165  0.500  0.907 [4 per cell]
Y  0.000  0.000  0.500 [2 per cell]
Ir  0.000  0.500  0.252 [4 per cell]
Ir  0.198  0.000  0.698 [4 per cell]

No. 15
Material: Cs3DyNp3Te8
Method: DFT, PBE
State: relaxed

* raw formation energy: -0.9787 eV/atom
* calculated volume: 1929.7 Å³ per cell
* crystal system: trigonal

a b c (Å): 9.0523 9.0523 27.1908
angles (deg): 90.00 90.00 120.00
Space group R-3m (No. 166, hexagonal axes)
Inequivalent atoms, fractional coordinates:
Cs  0.0000  0.5000  0.0000 [9 per cell]
Dy  0.0000  0.0000  0.5000 [3 per cell]
Np  0.0000  0.5000  0.5000 [9 per cell]
Te  0.0000  0.0000  0.2296 [6 per cell]
Te  0.0007  0.5004  0.7708 [18 per cell]

No. 16
Material: Ba2SmH6Ru
Method: DFT, PBE
State: relaxed

* E_tot: -4.190 eV/atom
* calculated volume: 174.2 Å³ per cell
* crystal system: trigonal

a b c (Å): 5.7557 5.7557 6.0730
angles (deg): 90.00 90.00 120.00
Space group P-3m1 (No. 164)
Inequivalent atoms, fractional coordinates:
Ba  0.3333  0.6667  0.3289 [2 per cell]
Sm  0.0000  0.0000  0.0000 [1 per cell]
H  0.1405  0.2810  0.6730 [6 per cell]
Ru  0.0000  0.0000  0.5000 [1 per cell]

No. 17
Material: TbPr5Sm5
Method: DFT, PBE
State: relaxed

* energy of formation from the pure elements: 0.2362 eV/atom
* calculated volume: 779.3 Å³ per cell
* crystal system: monoclinic

a b c (Å): 19.236 6.140 7.095
angles (deg): 90.00 111.58 90.00
Space group C2/m (No. 12)
Inequivalent atoms, fractional coordinates:
Tb  0.000  0.000  0.000 [2 per cell]
Pr  0.000  0.500  0.000 [2 per cell]
Pr  0.175  0.000  0.419 [4 per cell]
Pr  0.175  0.000  0.931 [4 per cell]
Sm  0.000  0.000  0.500 [2 per cell]
Sm  0.124  0.500  0.625 [4 per cell]
Sm  0.170  0.500  0.170 [4 per cell]

No. 18
Material: Zr2MnSi4Ir3
Method: DFT, PBE
State: relaxed

* raw formation energy: -0.8118 eV/atom
* calculated volume: 158.0 Å³ per cell
* crystal system: tetragonal

a b c (Å): 3.912 3.912 10.324
angles (deg): 90.00 90.00 90.00
Space group P-4m2 (No. 115)
Inequivalent atoms, fractional coordinates:
Zr  0.000  0.500  0.236 [2 per cell]
Mn  0.500  0.500  0.000 [1 per cell]
Si  0.000  0.000  0.500 [1 per cell]
Si  0.000  0.500  0.861 [2 per cell]
Si  0.500  0.500  0.500 [1 per cell]
Ir  0.000  0.000  0.000 [1 per cell]
Ir  0.000  0.500  0.634 [2 per cell]

No. 19
Material: BiW2Cl8
Method: DFT, PBE
State: relaxed

* raw formation energy: -0.5681 eV/atom
* calculated volume: 711.7 Å³ per cell
* crystal system: monoclinic

a b c (Å): 10.371 8.483 8.489
angles (deg): 90.00 107.66 90.00
Space group C2/m (No. 12)
Inequivalent atoms, fractional coordinates:
Bi  0.000  0.000  0.000 [2 per cell]
W  0.087  0.000  0.740 [4 per cell]
Cl  0.083  0.270  0.711 [8 per cell]
Cl  0.143  0.000  0.460 [4 per cell]
Cl  0.183  0.500  0.128 [4 per cell]

No. 20
Material: Tb6C3Se
Method: DFT, PBE
State: relaxed

* raw formation energy: -0.5557 eV/atom
* calculated volume: 443.3 Å³ per cell
* crystal system: monoclinic

a b c (Å): 10.239 3.661 12.756
angles (deg): 90.00 112.01 90.00
Space group P2_1/m (No. 11)
Inequivalent atoms, fractional coordinates:
Tb  0.014  0.250  0.253 [2 per cell]
Tb  0.140  0.750  0.578 [2 per cell]
Tb  0.182  0.750  0.098 [2 per cell]
Tb  0.319  0.750  0.387 [2 per cell]
Tb  0.348  0.250  0.935 [2 per cell]
Tb  0.480  0.250  0.223 [2 per cell]
C  0.009  0.750  0.381 [2 per cell]
C  0.249  0.250  0.245 [2 per cell]
C  0.415  0.750  0.078 [2 per cell]
Se  0.380  0.250  0.584 [2 per cell]

| no. | D(E_F) (states/eV/cell) |
| --- | --- |
| 1 | 6.38 |
| 2 | 10.63 |
| 3 | 16.94 |
| 4 | 15.34 |
| 5 | 1.69 |
| 6 | 0.00 |
| 7 | 14.08 |
| 8 | 21.01 |
| 9 | 4.48 |
| 10 | 5.94 |
| 11 | 13.28 |
| 12 | 7.98 |
| 13 | 16.60 |
| 14 | 11.69 |
| 15 | 75.96 |
| 16 | 4.50 |
| 17 | 37.23 |
| 18 | 4.74 |
| 19 | 2.96 |
| 20 | 11.31 |